Entry from Alexandria via LeMat-Bulk: a relaxed structure of TbAlGa2Au4 (PBE).

a b c (Å): 4.4770 4.4770 26.3558
angles (deg): 90.00 90.00 120.00
Space group R-3m (No. 166, hexagonal axes)
Asymmetric unit:
Tb  0.0000  0.0000  0.0000 (multiplicity 3)
Al  0.0000  0.0000  0.5000 (multiplicity 3)
Ga  0.0000  0.0000  0.2573 (multiplicity 6)
Au  0.0000  0.0000  0.1360 (multiplicity 6)
Au  0.0000  0.0000  0.3972 (multiplicity 6)

Entry from Alexandria via LeMat-Bulk: a relaxed structure of Tb2Al4GaAu3 (PBE).

a b c (Å): 4.313 4.313 10.615
angles (deg): 90.00 90.00 90.00
Space group P-4m2 (No. 115)
Asymmetric unit:
Tb  0.000  0.500  0.246 (multiplicity 2)
Al  0.000  0.000  0.500 (multiplicity 1)
Al  0.000  0.500  0.864 (multiplicity 2)
Al  0.500  0.500  0.500 (multiplicity 1)
Ga  0.500  0.500  0.000 (multiplicity 1)
Au  0.000  0.000  0.000 (multiplicity 1)
Au  0.000  0.500  0.632 (multiplicity 2)

Entry from Alexandria via LeMat-Bulk: a relaxed structure of TbAlGa2Au5 (PBE).

a b c (Å): 4.768 5.956 13.616
angles (deg): 90.00 90.00 90.00
Space group Immm (No. 71)
Asymmetric unit:
Tb  0.000  0.000  0.000 (multiplicity 2)
Al  0.000  0.000  0.500 (multiplicity 2)
Ga  0.000  0.500  0.189 (multiplicity 4)
Au  0.000  0.265  0.351 (multiplicity 8)
Au  0.000  0.500  0.000 (multiplicity 2)

Entry from Alexandria via LeMat-Bulk: a relaxed structure of Tb3AlGa2Au6 (PBE).

a b c (Å): 5.9995 5.9995 8.3563
angles (deg): 90.00 90.00 120.00
Space group P-3m1 (No. 164)
Asymmetric unit:
Tb  0.0000  0.0000  0.0000 (multiplicity 1)
Tb  0.3333  0.6667  0.6190 (multiplicity 2)
Al  0.0000  0.0000  0.5000 (multiplicity 1)
Ga  0.3333  0.6667  0.0017 (multiplicity 2)
Au  0.1749  0.3499  0.2788 (multiplicity 6)

Entry from Alexandria via LeMat-Bulk: a relaxed structure of Tb2AlGa4Au3 (PBE).

a b c (Å): 4.193 4.193 11.254
angles (deg): 90.00 90.00 90.00
Space group P-4m2 (No. 115)
Asymmetric unit:
Tb  0.000  0.500  0.244 (multiplicity 2)
Al  0.500  0.500  0.000 (multiplicity 1)
Ga  0.000  0.000  0.500 (multiplicity 1)
Ga  0.000  0.500  0.860 (multiplicity 2)
Ga  0.500  0.500  0.500 (multiplicity 1)
Au  0.000  0.000  0.000 (multiplicity 1)
Au  0.000  0.500  0.639 (multiplicity 2)

Entry from Alexandria via LeMat-Bulk: a relaxed structure of TbAlGaAu (PBE).

a b c (Å): 6.844 6.844 6.844
angles (deg): 90.00 90.00 90.00
Space group F-43m (No. 216)
Asymmetric unit:
Tb  0.000  0.000  0.000 (multiplicity 4)
Al  0.000  0.000  0.500 (multiplicity 4)
Ga  0.250  0.250  0.250 (multiplicity 4)
Au  0.250  0.250  0.750 (multiplicity 4)

Looking at calculated formation energy for the records above, in order, we have -0.477, -0.669, -0.260, -0.548, -0.599, -0.542 eV per atom.
Looking at D(E_F) for the records above, in order, we have 0.3214, 0.3577, 0.3607, 0.3900, 0.4794, 0.1111 states/eV/atom.